1.
Hf6SbTe2 | GGA-PBE | optimized geometry

Lattice parameters (Å, degrees): 5.6898 7.2331 10.9673 90.00 111.47 90.00
With the nearest neighbours (Å) after each atom.
Fractional positions:
Hf (0.0404, 0.2112, 0.4349)  1 Sb 2.88, 3 Te 2.89-2.98, 2 Hf 2.98-3.06
Hf (0.0404, 0.2888, 0.9349)  1 Sb 2.88, 3 Te 2.89-2.98, 2 Hf 2.98-3.06
Hf (0.2948, 0.6296, 0.4368)  1 Sb 2.90, 4 Hf 2.92-3.18, 2 Te 2.94-2.97
Hf (0.2948, 0.8704, 0.9368)  1 Sb 2.90, 4 Hf 2.92-3.18, 2 Te 2.94-2.97
Hf (0.3461, 0.0050, 0.2130)  2 Te 2.90-2.93, 1 Sb 2.94, 3 Hf 3.06-3.18
Hf (0.3461, 0.4950, 0.7130)  2 Te 2.90-2.93, 1 Sb 2.94, 3 Hf 3.06-3.18
Hf (0.6539, 0.5050, 0.2870)  2 Te 2.90-2.93, 1 Sb 2.94, 3 Hf 3.06-3.18
Hf (0.6539, 0.9950, 0.7870)  2 Te 2.90-2.93, 1 Sb 2.94, 3 Hf 3.06-3.18
Hf (0.7052, 0.1296, 0.0632)  1 Sb 2.90, 4 Hf 2.92-3.18, 2 Te 2.94-2.97
Hf (0.7052, 0.3704, 0.5632)  1 Sb 2.90, 4 Hf 2.92-3.18, 2 Te 2.94-2.97
Hf (0.9596, 0.7112, 0.0651)  1 Sb 2.88, 3 Te 2.89-2.98, 2 Hf 2.98-3.06
Hf (0.9596, 0.7888, 0.5651)  1 Sb 2.88, 3 Te 2.89-2.98, 2 Hf 2.98-3.06
Sb (0.5000, 0.0000, 0.5000)  6 Hf 2.88-2.94
Sb (0.5000, 0.5000, 0.0000)  6 Hf 2.88-2.94
Te (0.1354, 0.1304, 0.7155)  7 Hf 2.89-2.98
Te (0.1354, 0.3696, 0.2155)  7 Hf 2.89-2.98
Te (0.8646, 0.6304, 0.7845)  7 Hf 2.89-2.98
Te (0.8646, 0.8696, 0.2845)  7 Hf 2.89-2.98

E_form (uncorrected)	-0.2167	eV/atom
uncorrected energy	-8.01	eV per atom

=====

2.
SmThSbTe | GGA-PBE | optimized geometry

Lattice parameters (Å, degrees): 7.7460 7.7460 7.7460 33.61 33.61 33.61
With the nearest neighbours (Å) after each atom.
Fractional positions:
Sm (0.0000, 0.0000, 0.0000)  3 Sb 3.11, 3 Te 3.18
Th (0.5054, 0.5054, 0.5054)  3 Sb 3.15, 3 Te 3.21
Sb (0.2542, 0.2542, 0.2542)  3 Sm 3.11, 3 Th 3.15
Te (0.7515, 0.7515, 0.7515)  3 Sm 3.18, 3 Th 3.21

ΔE to the lowest computed polymorph	0	meV per atom
E_form (uncorrected)	-1.1337	eV/atom
uncorrected energy	-5.98	eV per atom

=====

3.
YB3C3 | GGA-PBE | optimized geometry

Lattice parameters (Å, degrees): 4.8156 4.8156 4.8156 90.00 90.00 90.00
With the nearest neighbours (Å) after each atom.
Fractional positions:
Y (0.0000, 0.0000, 0.0000)  12 B 2.69, 12 C 2.69
Y (0.5000, 0.5000, 0.5000)  12 B 2.69, 12 C 2.69
B (0.0000, 0.2500, 0.5000)  4 C 1.70
B (0.0000, 0.7500, 0.5000)  4 C 1.70
B (0.2500, 0.5000, 0.0000)  4 C 1.70
B (0.5000, 0.0000, 0.2500)  4 C 1.70
B (0.5000, 0.0000, 0.7500)  4 C 1.70
B (0.7500, 0.5000, 0.0000)  4 C 1.70
C (0.0000, 0.5000, 0.2500)  4 B 1.70
C (0.0000, 0.5000, 0.7500)  4 B 1.70
C (0.2500, 0.0000, 0.5000)  4 B 1.70
C (0.5000, 0.2500, 0.0000)  4 B 1.70
C (0.5000, 0.7500, 0.0000)  4 B 1.70
C (0.7500, 0.0000, 0.5000)  4 B 1.70

uncorrected energy	-7.78	eV per atom
calculated formation energy	-44	meV/atom

=====

4.
Zr3ZnSi | GGA-PBE | optimized geometry

Lattice parameters (Å, degrees): 4.9368 4.9368 4.9368 90.00 90.00 90.00
With the nearest neighbours (Å) after each atom.
Fractional positions:
Zr (0.0000, 0.0000, 0.5000)  2 Si 2.47
Zr (0.0000, 0.5000, 0.0000)  2 Si 2.47
Zr (0.5000, 0.0000, 0.0000)  2 Si 2.47
Zn (0.5000, 0.5000, 0.5000)  12 Zr 3.49
Si (0.0000, 0.0000, 0.0000)  6 Zr 2.47

ΔE to the lowest computed polymorph	0	meV per atom
E_form (uncorrected)	0.1648	eV/atom
uncorrected energy	-6.30	eV per atom

=====

5.
Na2CN | GGA-PBE | optimized geometry

Lattice parameters (Å, degrees): 7.5898 7.5898 7.5898 91.65 91.65 160.47
With the nearest neighbours (Å) after each atom.
Fractional positions:
Na (0.3750, 0.2160, 0.3410)  2 Na 2.57, 2 N 2.83
Na (0.7840, 0.1250, 0.1590)  2 Na 2.57, 2 N 2.83
Na (0.8750, 0.0340, 0.6590)  2 Na 2.57, 2 N 2.83
Na (0.9660, 0.6250, 0.8410)  2 Na 2.57, 2 N 2.83
C (0.2500, 0.7500, 0.5000)  2 N 1.29
C (0.5000, 0.5000, 0.0000)  2 N 1.29
N (0.0000, 0.0000, 0.0000)  2 C 1.29
N (0.7500, 0.2500, 0.5000)  2 C 1.29

ΔE to the lowest computed polymorph	0	meV per atom
E_form (uncorrected)	0.8139	eV/atom
uncorrected energy	-4.23	eV per atom

=====

6.
NaNbNiN2 | GGA-PBE | optimized geometry

Lattice parameters (Å, degrees): 3.9701 3.9701 4.5563 90.00 90.00 90.00
With the nearest neighbours (Å) after each atom.
Fractional positions:
Na (0.0000, 0.0000, 0.0000)  4 N 1.99
Nb (0.0000, 0.0000, 0.5000)  2 Na 2.28
Ni (0.5000, 0.5000, 0.5000)  4 Nb 2.81, 8 N 3.02
N (0.0000, 0.5000, 0.0000)  2 Na 1.99
N (0.5000, 0.0000, 0.0000)  2 Na 1.99

E_form (uncorrected)	2.6992	eV/atom
uncorrected energy	-4.06	eV per atom

=====

> What is the uncorrected energy in the sixth record?

-4.06 eV per atom